(1)
Below is crystalline InNiI2 at its relaxed geometry, with properties calculated at the PBE-GGA level.

Values from the calculation:
total magnetization = 0.955 μB per formula unit
offset from the most stable computed form = 0.00 eV per formula unit
uncorrected formation energy = -0.3 eV/f.u.

Cell: 6.9119 6.9119 6.9119 Å, 108.12 108.12 112.21°
Closest atoms and distances in Å follow each position.
Sites, in units of the cell vectors:
In: 0.0000 0.0000 0.0000  8 I 3.58-3.75, 2 Ni 3.85
In: 0.7500 0.2500 0.5000  8 I 3.58-3.75, 2 Ni 3.85
Ni: 0.2500 0.7500 0.5000  4 I 2.58
Ni: 0.5000 0.5000 0.0000  4 I 2.58
I: 0.2187 0.6250 0.0937  2 Ni 2.58
I: 0.3750 0.4687 0.5937  2 Ni 2.58
I: 0.5313 0.1250 0.9063  2 Ni 2.58
I: 0.8750 0.7813 0.4063  2 Ni 2.58

(2)
Below is crystalline InNiI2 at its relaxed geometry, with properties calculated at the PBE-GGA level.

Values from the calculation:
total magnetization = 1.585 μB per formula unit
offset from the most stable computed form = 0.47 eV per formula unit
uncorrected formation energy = 0.1 eV/f.u.

Cell: 10.0857 10.0857 10.0857 Å, 22.33 22.33 22.33°
Closest atoms and distances in Å follow each position.
Sites, in units of the cell vectors:
In: 0.0000 0.0000 0.0000  2 I 3.39
Ni: 0.5000 0.5000 0.5000  6 I 2.72
I: 0.1149 0.1149 0.1149  3 Ni 2.72
I: 0.8851 0.8851 0.8851  3 Ni 2.72